1.
The following is a PBE-GGA calculation of a geometry-optimized Re2SbPb structure, from Alexandria via LeMat-Bulk.

## Properties
For the uncorrected energy, the calculation gives -7.047 eV per atom. As for the excess energy over the best structure of this formula in the dataset: 311 kJ/mol of formula units. The density of states at the Fermi level comes out at 8.75 states/eV/cell.

Lattice parameters (Å, degrees): 4.3812 4.3812 7.9919 90.00 90.00 90.00
Positions (direct):
Re1 0.0000 0.0000 0.0000
Re2 0.0000 0.5000 0.2500
Re3 0.5000 0.0000 0.7500
Re4 0.5000 0.5000 0.5000
Sb1 0.0000 0.5000 0.7500
Sb2 0.5000 0.0000 0.2500
Pb1 0.0000 0.0000 0.5000
Pb2 0.5000 0.5000 0.0000


2.
The following is a PBE-GGA calculation of a geometry-optimized CaNiSnPt structure, from Alexandria via LeMat-Bulk.

## Properties
For the uncorrected energy, the calculation gives -4.906 eV per atom. The energy of formation from the pure elements is -0.449 eV per atom. The density of states at the Fermi level comes out at 8.24 states/eV/cell.

Lattice parameters (Å, degrees): 6.6534 6.6534 6.6534 90.00 90.00 90.00
Positions (direct):
Ca1 0.0000 0.0000 0.0000
Ca2 0.0000 0.5000 0.5000
Ca3 0.5000 0.0000 0.5000
Ca4 0.5000 0.5000 0.0000
Ni1 0.2500 0.2500 0.2500
Ni2 0.2500 0.7500 0.7500
Ni3 0.7500 0.2500 0.7500
Ni4 0.7500 0.7500 0.2500
Sn1 0.0000 0.0000 0.5000
Sn2 0.0000 0.5000 0.0000
Sn3 0.5000 0.0000 0.0000
Sn4 0.5000 0.5000 0.5000
Pt1 0.2500 0.2500 0.7500
Pt2 0.2500 0.7500 0.2500
Pt3 0.7500 0.2500 0.2500
Pt4 0.7500 0.7500 0.7500


Number 1: V 19.18 Å³ per atom. Number 2: V 18.41 Å³ per atom.